Record 1
# Pm6Nd12Al

A relaxed structure of Pm6Nd12Al (PBE, Alexandria).

Values from the calculation:
VASP energy   -4.627 eV per atom
Formation energy from the elements   81 meV/atom
M_tot   0.0 μB/f.u.
Volume   649.5 Å³/f.u.

Cell lengths 12.2924, 12.2924, 14.8903 Å; angles 90.00, 90.00, 120.00 degrees
Space group R-3 (No. 148, hexagonal axes)
One atom of each set of equivalent atoms:
Pm1 0.0370 0.4370 0.1975 [18 per cell]
Nd1 0.0338 0.1784 0.3098 [18 per cell]
Nd2 0.0704 0.8651 0.9115 [18 per cell]
Al1 0.0000 0.0000 0.5000 [3 per cell]



Record 2
# PmNd4Al2

A relaxed structure of PmNd4Al2 (PBE, Alexandria).

Values from the calculation:
Distance to the lowest polymorph of the same formula   0.0 meV per atom
VASP energy   -4.644 eV per atom
Formation energy from the elements   -171 meV/atom
M_tot   0.0 μB/f.u.
Volume   210.8 Å³/f.u.

Cell lengths 5.413, 12.252, 6.358 Å; angles 90.00, 90.02, 90.00 degrees
Space group P2_1/c (No. 14)
One atom of each set of equivalent atoms:
Pm1 0.000 0.000 0.000 [2 per cell]
Nd1 0.001 0.151 0.503 [4 per cell]
Nd2 0.499 0.671 0.358 [4 per cell]
Al1 0.499 0.561 0.821 [4 per cell]



Record 3
# Pm5NdAl3

A relaxed structure of Pm5NdAl3 (PBE, Alexandria).

Values from the calculation:
VASP energy   -4.644 eV per atom
Formation energy from the elements   -228 meV/atom
M_tot   0.0 μB/f.u.
Volume   256.2 Å³/f.u.

Cell lengths 9.2964, 9.2964, 6.8474 Å; angles 90.00, 90.00, 120.00 degrees
Space group P6_3/mcm (No. 193)
One atom of each set of equivalent atoms:
Pm1 0.0000 0.3325 0.2500 [6 per cell]
Pm2 0.3333 0.6667 0.0000 [4 per cell]
Nd1 0.0000 0.0000 0.0000 [2 per cell]
Al1 0.0000 0.3352 0.7500 [6 per cell]



Record 4
# Pm3Pr6Nd2Al

A relaxed structure of Pm3Pr6Nd2Al (PBE, Alexandria).

Values from the calculation:
VASP energy   -4.687 eV per atom
Formation energy from the elements   -3 meV/atom
M_tot   0.0 μB/f.u.
Volume   403.2 Å³/f.u.

Cell lengths 6.268, 10.903, 11.994 Å; angles 90.00, 100.29, 90.00 degrees
Space group C2/m (No. 12)
One atom of each set of equivalent atoms:
Pm1 0.000 0.000 0.000 [2 per cell]
Pm2 0.000 0.331 0.000 [4 per cell]
Pr1 0.239 0.500 0.255 [4 per cell]
Pr2 0.241 0.340 0.744 [8 per cell]
Nd1 0.000 0.166 0.500 [4 per cell]
Al1 0.000 0.500 0.500 [2 per cell]



Record 5
# Pm3Pr2Nd6Al

A relaxed structure of Pm3Pr2Nd6Al (PBE, Alexandria).

Values from the calculation:
VASP energy   -4.688 eV per atom
Formation energy from the elements   -8 meV/atom
M_tot   0.0 μB/f.u.
Volume   399.0 Å³/f.u.

Cell lengths 6.243, 10.849, 11.973 Å; angles 90.00, 100.23, 90.00 degrees
Space group C2/m (No. 12)
One atom of each set of equivalent atoms:
Pm1 0.000 0.000 0.000 [2 per cell]
Pm2 0.000 0.331 0.000 [4 per cell]
Pr1 0.000 0.166 0.500 [4 per cell]
Nd1 0.239 0.500 0.254 [4 per cell]
Nd2 0.241 0.339 0.745 [8 per cell]
Al1 0.000 0.500 0.500 [2 per cell]



Record 6
# PmNdAl2Pt

A relaxed structure of PmNdAl2Pt (PBE, Alexandria).

Values from the calculation:
VASP energy   -5.240 eV per atom
Formation energy from the elements   -631 meV/atom
M_tot   0.0 μB/f.u.
Volume   121.6 Å³/f.u.

Cell lengths 4.184, 4.638, 12.526 Å; angles 90.00, 90.00, 90.00 degrees
Space group Imm2 (No. 44)
One atom of each set of equivalent atoms:
Pm1 0.000 0.000 0.000 [2 per cell]
Nd1 0.000 0.500 0.235 [2 per cell]
Al1 0.000 0.000 0.514 [2 per cell]
Al2 0.000 0.500 0.849 [2 per cell]
Pt1 0.000 0.500 0.651 [2 per cell]



Record 7
# PmNdPuAl

A relaxed structure of PmNdPuAl (PBE, Alexandria).

Values from the calculation:
VASP energy   -6.800 eV per atom
Formation energy from the elements   98 meV/atom
M_tot   6.6 μB/f.u.
Volume   112.4 Å³/f.u.

Cell lengths 7.660, 7.660, 7.660 Å; angles 90.00, 90.00, 90.00 degrees
Space group F-43m (No. 216)
One atom of each set of equivalent atoms:
Pm1 0.000 0.000 0.000 [4 per cell]
Nd1 0.250 0.250 0.250 [4 per cell]
Pu1 0.250 0.250 0.750 [4 per cell]
Al1 0.000 0.000 0.500 [4 per cell]



Record 8
# PmNdScAl

A relaxed structure of PmNdScAl (PBE, Alexandria).

Values from the calculation:
VASP energy   -4.991 eV per atom
Formation energy from the elements   -92 meV/atom
M_tot   0.0 μB/f.u.
Volume   108.1 Å³/f.u.

Cell lengths 7.562, 7.562, 7.562 Å; angles 90.00, 90.00, 90.00 degrees
Space group F-43m (No. 216)
One atom of each set of equivalent atoms:
Pm1 0.000 0.000 0.000 [4 per cell]
Nd1 0.000 0.000 0.500 [4 per cell]
Sc1 0.250 0.250 0.250 [4 per cell]
Al1 0.250 0.250 0.750 [4 per cell]



Record 9
# Pm2NdAlSi2

A relaxed structure of Pm2NdAlSi2 (PBE, Alexandria).

Values from the calculation:
VASP energy   -4.747 eV per atom
M_tot   0.0 μB/f.u.
Volume   180.2 Å³/f.u.
ΔE_f (raw)   0.0624 eV/atom

Cell lengths 4.724, 4.724, 16.151 Å; angles 90.00, 90.00, 90.00 degrees
Space group I4/mmm (No. 139)
One atom of each set of equivalent atoms:
Pm1 0.000 0.500 0.250 [4 per cell]
Nd1 0.000 0.000 0.000 [2 per cell]
Al1 0.000 0.000 0.500 [2 per cell]
Si1 0.000 0.000 0.358 [4 per cell]



Record 10
# PmNd2AlSi2

A relaxed structure of PmNd2AlSi2 (PBE, Alexandria).

Values from the calculation:
VASP energy   -4.715 eV per atom
M_tot   0.0 μB/f.u.
Volume   181.8 Å³/f.u.
ΔE_f (raw)   0.0974 eV/atom

Cell lengths 4.729, 4.729, 16.260 Å; angles 90.00, 90.00, 90.00 degrees
Space group I4/mmm (No. 139)
One atom of each set of equivalent atoms:
Pm1 0.000 0.000 0.000 [2 per cell]
Nd1 0.000 0.500 0.250 [4 per cell]
Al1 0.000 0.000 0.500 [2 per cell]
Si1 0.000 0.000 0.359 [4 per cell]



Record 11
# PmNdSmAl

A relaxed structure of PmNdSmAl (PBE, Alexandria).

Values from the calculation:
Distance to the lowest polymorph of the same formula   0.0 meV per atom
VASP energy   -4.663 eV per atom
Formation energy from the elements   -168 meV/atom
M_tot   0.0 μB/f.u.
Volume   115.5 Å³/f.u.

Cell lengths 4.862, 4.872, 4.876 Å; angles 90.00, 90.00, 90.00 degrees
Space group Pmmm (No. 47)
One atom of each set of equivalent atoms:
Pm1 0.000 0.000 0.000 [1 per cell]
Nd1 0.500 0.500 0.000 [1 per cell]
Sm1 0.000 0.500 0.500 [1 per cell]
Al1 0.500 0.000 0.500 [1 per cell]



Record 12
# PmNdSmAl

A relaxed structure of PmNdSmAl (PBE, Alexandria).

Values from the calculation:
Distance to the lowest polymorph of the same formula   147.0 meV per atom
VASP energy   -4.516 eV per atom
Formation energy from the elements   -21 meV/atom
M_tot   0.7 μB/f.u.
Volume   116.7 Å³/f.u.

Cell lengths 7.757, 7.757, 7.757 Å; angles 90.00, 90.00, 90.00 degrees
Space group F-43m (No. 216)
One atom of each set of equivalent atoms:
Pm1 0.000 0.000 0.000 [4 per cell]
Nd1 0.250 0.250 0.750 [4 per cell]
Sm1 0.250 0.250 0.250 [4 per cell]
Al1 0.000 0.000 0.500 [4 per cell]



Record 13
# PmNdThAl

A relaxed structure of PmNdThAl (PBE, Alexandria).

Values from the calculation:
VASP energy   -5.154 eV per atom
Formation energy from the elements   16 meV/atom
M_tot   0.0 μB/f.u.
Volume   116.3 Å³/f.u.

Cell lengths 7.749, 7.749, 7.749 Å; angles 90.00, 90.00, 90.00 degrees
Space group F-43m (No. 216)
One atom of each set of equivalent atoms:
Pm1 0.000 0.000 0.000 [4 per cell]
Nd1 0.250 0.250 0.750 [4 per cell]
Th1 0.250 0.250 0.250 [4 per cell]
Al1 0.000 0.000 0.500 [4 per cell]



Record 14
# PmNdAlTl

A relaxed structure of PmNdAlTl (PBE, Alexandria).

Values from the calculation:
Distance to the lowest polymorph of the same formula   0.0 meV per atom
VASP energy   -4.275 eV per atom
Formation energy from the elements   -368 meV/atom
M_tot   0.0 μB/f.u.
Volume   110.8 Å³/f.u.

Cell lengths 3.767, 3.767, 7.807 Å; angles 90.00, 90.00, 90.00 degrees
Space group P4mm (No. 99)
One atom of each set of equivalent atoms:
Pm1 0.000 0.000 0.000 [1 per cell]
Nd1 0.000 0.000 0.473 [1 per cell]
Al1 0.500 0.500 0.234 [1 per cell]
Tl1 0.500 0.500 0.739 [1 per cell]



Record 15
# Pm3Nd3Al2Tl

A relaxed structure of Pm3Nd3Al2Tl (PBE, Alexandria).

Values from the calculation:
VASP energy   -4.484 eV per atom
Formation energy from the elements   -217 meV/atom
M_tot   0.0 μB/f.u.
Volume   268.5 Å³/f.u.

Cell lengths 9.0500, 9.0500, 3.7861 Å; angles 90.00, 90.00, 120.00 degrees
Space group P-62m (No. 189)
One atom of each set of equivalent atoms:
Pm1 0.0000 0.3882 0.0000 [3 per cell]
Nd1 0.0000 0.7079 0.5000 [3 per cell]
Al1 0.3333 0.6667 0.5000 [2 per cell]
Tl1 0.0000 0.0000 0.0000 [1 per cell]



Record 16
# Pm3Nd3AlTl2

A relaxed structure of Pm3Nd3AlTl2 (PBE, Alexandria).

Values from the calculation:
VASP energy   -4.371 eV per atom
Formation energy from the elements   -257 meV/atom
M_tot   0.0 μB/f.u.
Volume   275.4 Å³/f.u.

Cell lengths 9.1088, 9.1088, 3.8330 Å; angles 90.00, 90.00, 120.00 degrees
Space group P-62m (No. 189)
One atom of each set of equivalent atoms:
Pm1 0.0000 0.7224 0.0000 [3 per cell]
Nd1 0.0000 0.3836 0.5000 [3 per cell]
Al1 0.0000 0.0000 0.5000 [1 per cell]
Tl1 0.3333 0.6667 0.0000 [2 per cell]



Record 17
# PmNdAlTl

A relaxed structure of PmNdAlTl (PBE, Alexandria).

Values from the calculation:
Distance to the lowest polymorph of the same formula   19.6 meV per atom
VASP energy   -4.255 eV per atom
Formation energy from the elements   -348 meV/atom
M_tot   0.0 μB/f.u.
Volume   110.9 Å³/f.u.

Cell lengths 7.626, 7.626, 7.626 Å; angles 90.00, 90.00, 90.00 degrees
Space group F-43m (No. 216)
One atom of each set of equivalent atoms:
Pm1 0.000 0.000 0.000 [4 per cell]
Nd1 0.000 0.000 0.500 [4 per cell]
Al1 0.250 0.250 0.750 [4 per cell]
Tl1 0.250 0.250 0.250 [4 per cell]



Record 18
# PmNdYAl

A relaxed structure of PmNdYAl (PBE, Alexandria).

Values from the calculation:
VASP energy   -4.954 eV per atom
Formation energy from the elements   -23 meV/atom
M_tot   1.3 μB/f.u.
Volume   115.2 Å³/f.u.

Cell lengths 7.723, 7.723, 7.723 Å; angles 90.00, 90.00, 90.00 degrees
Space group F-43m (No. 216)
One atom of each set of equivalent atoms:
Pm1 0.000 0.000 0.000 [4 per cell]
Nd1 0.250 0.250 0.750 [4 per cell]
Y1 0.250 0.250 0.250 [4 per cell]
Al1 0.000 0.000 0.500 [4 per cell]



Record 19
# Pr5NdAl6

A relaxed structure of Pr5NdAl6 (PBE, Alexandria).

Values from the calculation:
VASP energy   -4.600 eV per atom
Formation energy from the elements   -340 meV/atom
M_tot   0.0 μB/f.u.
Volume   317.0 Å³/f.u.

Cell lengths 9.184, 15.918, 5.308 Å; angles 90.00, 125.21, 90.00 degrees
Space group C2/m (No. 12)
One atom of each set of equivalent atoms:
Pr1 0.000 0.000 0.000 [2 per cell]
Pr2 0.000 0.166 0.500 [4 per cell]
Pr3 0.000 0.332 0.000 [4 per cell]
Nd1 0.000 0.500 0.500 [2 per cell]
Al1 0.247 0.500 0.247 [4 per cell]
Al2 0.248 0.334 0.748 [8 per cell]



Record 20
# PrNdAl6

A relaxed structure of PrNdAl6 (PBE, Alexandria).

Values from the calculation:
VASP energy   -4.445 eV per atom
Formation energy from the elements   -445 meV/atom
M_tot   0.0 μB/f.u.
Volume   171.1 Å³/f.u.

Cell lengths 6.5167, 6.5167, 4.6514 Å; angles 90.00, 90.00, 120.00 degrees
Space group P-6m2 (No. 187)
One atom of each set of equivalent atoms:
Pr1 0.0000 0.0000 0.0000 [1 per cell]
Nd1 0.3333 0.6667 0.5000 [1 per cell]
Al1 0.3861 0.1931 0.5000 [3 per cell]
Al2 0.5259 0.0517 0.0000 [3 per cell]



Record 21
# Pr3NdAl2

A relaxed structure of Pr3NdAl2 (PBE, Alexandria).

Values from the calculation:
VASP energy   -4.669 eV per atom
Formation energy from the elements   -237 meV/atom
M_tot   0.0 μB/f.u.
Volume   178.5 Å³/f.u.

Cell lengths 5.300, 9.922, 6.789 Å; angles 90.00, 90.00, 90.00 degrees
Space group Pmc2_1 (No. 26)
One atom of each set of equivalent atoms:
Pr1 0.000 0.047 0.000 [2 per cell]
Pr2 0.000 0.329 0.333 [2 per cell]
Pr3 0.500 0.172 0.712 [2 per cell]
Nd1 0.500 0.452 0.044 [2 per cell]
Al1 0.000 0.351 0.815 [2 per cell]
Al2 0.500 0.150 0.231 [2 per cell]



Record 22
# PrNd3Al2

A relaxed structure of PrNd3Al2 (PBE, Alexandria).

Values from the calculation:
Distance to the lowest polymorph of the same formula   79.9 meV per atom
VASP energy   -4.588 eV per atom
Formation energy from the elements   -160 meV/atom
M_tot   0.0 μB/f.u.
Volume   177.5 Å³/f.u.

Cell lengths 16.584, 5.310, 9.314 Å; angles 90.00, 120.06, 90.00 degrees
Space group C2/m (No. 12)
One atom of each set of equivalent atoms:
Pr1 0.129 0.000 0.186 [4 per cell]
Nd1 0.062 0.000 0.715 [4 per cell]
Nd2 0.119 0.500 0.530 [4 per cell]
Nd3 0.187 0.500 0.002 [4 per cell]
Al1 0.021 0.500 0.154 [4 per cell]
Al2 0.234 0.000 0.598 [4 per cell]



Record 23
# Pr5Nd4Al

A relaxed structure of Pr5Nd4Al (PBE, Alexandria).

Values from the calculation:
VASP energy   -4.572 eV per atom
Formation energy from the elements   99 meV/atom
M_tot   0.0 μB/f.u.
Volume   350.7 Å³/f.u.

Cell lengths 10.808, 10.808, 6.004 Å; angles 90.00, 90.00, 90.00 degrees
Space group I4mm (No. 107)
One atom of each set of equivalent atoms:
Pr1 0.000 0.000 0.000 [2 per cell]
Pr2 0.184 0.184 0.686 [8 per cell]
Nd1 0.000 0.312 0.196 [8 per cell]
Al1 0.000 0.000 0.477 [2 per cell]